[1]
Density functional theory data (PBE) for a relaxed LiTlCo2 crystal.

a = 4.481 Å, b = 5.251 Å, c = 2.873 Å
α = 75.96°, β = 85.82°, γ = 114.00°
Each line ends with the local moment (μB).
Fractional positions:
Co1 0.500 0.000 0.500  1.57
Tl1 0.500 0.500 0.000  -0.01
Li1 0.000 0.500 0.500  -0.02
Co2 0.000 0.000 0.000  1.57

Values from the calculation:
energy relative to the elements = 165 kJ/mol of formula units


[2]
Density functional theory data (PBE) for a relaxed RbPuSb2 crystal.

a = 4.175 Å, b = 4.175 Å, c = 7.921 Å
α = 90.00°, β = 90.00°, γ = 90.00°
Each line ends with the local moment (μB).
Fractional positions:
Sb1 0.000 0.000 0.818  -0.05
Rb1 0.500 0.500 0.500  0.00
Sb2 0.000 0.000 0.182  -0.05
Pu1 0.500 0.500 0.000  5.33

Values from the calculation:
energy relative to the elements, uncorrected = -1.763 eV per formula unit
excess energy over the best structure of this formula in the dataset = 0.0 kJ/mol of atoms


[3]
Density functional theory data (PBE) for a relaxed TbPm2PaAs5 crystal.

a = 5.080 Å, b = 5.080 Å, c = 10.927 Å
α = 90.00°, β = 90.00°, γ = 90.00°
Fractional positions:
Pm1 0.500 0.500 0.729
Pa1 0.000 0.000 0.500
Tb1 0.000 0.000 0.000
As1 0.000 0.000 0.247
As2 0.000 0.500 0.500
Pm2 0.500 0.500 0.271
As3 0.000 0.000 0.753
As4 0.500 0.500 0.000
As5 0.500 0.000 0.500

Values from the calculation:
energy relative to the elements = -514 kJ/mol of formula units


[4]
Density functional theory data (PBE) for a relaxed CeDy2Tm crystal.

a = 3.508 Å, b = 3.508 Å, c = 9.962 Å
α = 90.00°, β = 90.00°, γ = 90.00°
Each line ends with the local moment (μB).
Fractional positions:
Dy1 0.000 0.000 0.753  0.01
Ce1 0.500 0.500 0.000  0.54
Dy2 0.000 0.000 0.247  0.01
Tm1 0.500 0.500 0.500  -0.05

Values from the calculation:
energy relative to the elements = 24 kJ/mol of formula units
excess energy over the best structure of this formula in the dataset = 0.6 kJ/mol of atoms


- Which formula does entry 4 have?
  CeDy2Tm


Please write out number 4 again, unchanged.
Density functional theory data (PBE) for a relaxed CeDy2Tm crystal.

a = 3.508 Å, b = 3.508 Å, c = 9.962 Å
α = 90.00°, β = 90.00°, γ = 90.00°
Each line ends with the local moment (μB).
Fractional positions:
Dy1 0.000 0.000 0.753  0.01
Ce1 0.500 0.500 0.000  0.54
Dy2 0.000 0.000 0.247  0.01
Tm1 0.500 0.500 0.500  -0.05

Values from the calculation:
energy relative to the elements = 24 kJ/mol of formula units
excess energy over the best structure of this formula in the dataset = 0.6 kJ/mol of atoms